VASP calculation (PBE) on an optimized crystal structure of CaH.

Cell lengths 3.8073, 3.8073, 3.8073 Å; angles 60.00, 60.00, 60.00 degrees
Closest atoms and distances in Å follow each position.
Atoms (fractional coordinates):
Ca 0.0000 0.0000 0.0000  4 H 2.33
H 0.2500 0.2500 0.2500  4 Ca 2.33

Summary:
Raw total energy in eV/atom: -2.941